# 1
Below is an optimized crystal structure of Pm4Ho2Er, with properties calculated at the GGA-PBE level.

Unit cell a=6.219 b=6.618 c=11.565 alpha=90.00 beta=104.64 gamma=90.00
Element x y z (fractional)
Pm 0.648 0.510 0.285
Pm 0.043 0.750 0.865
Pm 0.957 0.250 0.135
Pm 0.648 0.990 0.285
Pm 0.850 0.250 0.549
Pm 0.352 0.010 0.715
Pm 0.352 0.490 0.715
Pm 0.150 0.750 0.451
Ho 0.610 0.750 0.994
Ho 0.390 0.250 0.006
Ho 0.288 0.250 0.422
Ho 0.712 0.750 0.578
Er 0.150 0.750 0.164
Er 0.850 0.250 0.836

Energy = -4.548 eV per atom



# 2
Below is an optimized crystal structure of V2IrRu2, with properties calculated at the GGA-PBE level.

Unit cell a=7.032 b=7.032 c=2.875 alpha=90.00 beta=90.00 gamma=90.00
Element x y z (fractional)
Ru 0.367 0.867 0.000
Ru 0.867 0.633 0.000
Ru 0.633 0.133 0.000
Ru 0.133 0.367 0.000
Ir 0.000 0.000 0.000
Ir 0.500 0.500 0.000
V 0.168 0.668 0.500
V 0.668 0.832 0.500
V 0.832 0.332 0.500
V 0.332 0.168 0.500

Energy = -9.191 eV per atom



# 3
Below is an optimized crystal structure of Ca2ErHg, with properties calculated at the GGA-PBE level.

Unit cell a=5.244 b=4.786 c=4.786 alpha=90.00 beta=90.00 gamma=90.00
Element x y z (fractional)
Ca 0.000 0.000 0.500
Ca 0.000 0.500 0.000
Hg 0.500 0.000 0.000
Er 0.500 0.500 0.500

Energy = -2.330 eV per atom



# 4
Below is an optimized crystal structure of CrGa2C, with properties calculated at the GGA-PBE level.

Unit cell a=7.385 b=7.385 c=5.620 alpha=48.93 beta=48.93 gamma=90.00
Element x y z (fractional)
Cr 0.000 0.000 0.000
Cr 0.750 0.250 0.500
C 0.500 0.500 0.000
C 0.250 0.750 0.500
Ga 0.523 0.125 0.250
Ga 0.227 0.625 0.250
Ga 0.375 0.477 0.750
Ga 0.875 0.773 0.750

Energy = -5.630 eV per atom



# 5
Below is an optimized crystal structure of Cs2Er2PaTe6, with properties calculated at the GGA-PBE level.

Unit cell a=7.695 b=7.695 c=9.549 alpha=97.76 beta=97.76 gamma=120.03
Element x y z (fractional)
Cs 0.834 0.166 0.000
Cs 0.166 0.834 0.000
Er 0.333 0.667 0.500
Er 0.667 0.333 0.500
Pa 0.000 0.000 0.500
Te 0.727 0.727 0.687
Te 0.065 0.397 0.688
Te 0.273 0.273 0.313
Te 0.397 0.065 0.688
Te 0.935 0.603 0.312
Te 0.603 0.935 0.312

Formation energy from raw total energies = -1242.4 meV per atom



# 6
Below is an optimized crystal structure of NaGeHPt2, with properties calculated at the GGA-PBE level.

Unit cell a=4.624 b=5.844 c=4.624 alpha=90.00 beta=90.00 gamma=90.00
Element x y z (fractional)
Na 0.000 0.500 0.000
Ge 0.000 0.000 0.000
Pt 0.000 0.000 0.500
Pt 0.500 0.000 0.000
H 0.500 0.500 0.500

Energy = -3.605 eV per atom



# 7
Below is an optimized crystal structure of SmDyRh2, with properties calculated at the GGA-PBE level.

Unit cell a=3.539 b=4.845 c=4.845 alpha=90.00 beta=90.00 gamma=90.00
Element x y z (fractional)
Rh 0.000 0.000 0.500
Rh 0.000 0.500 0.000
Sm 0.500 0.000 0.000
Dy 0.500 0.500 0.500

Energy = -6.797 eV per atom



# 8
Below is an optimized crystal structure of LiMnMo2, with properties calculated at the GGA-PBE level.

Unit cell a=3.178 b=3.178 c=5.444 alpha=90.00 beta=90.00 gamma=90.00
Element x y z (fractional)
Li 0.500 0.500 0.250
Mn 0.500 0.500 0.750
Mo 0.000 0.000 0.985
Mo 0.000 0.000 0.515

Energy = -7.736 eV per atom



# 9
Below is an optimized crystal structure of Ca5GaBi6, with properties calculated at the GGA-PBE level.

Unit cell a=5.137 b=9.056 c=9.401 alpha=118.79 beta=105.32 gamma=90.00
Element x y z (fractional)
Ca 0.354 0.854 0.708
Ca 0.673 0.672 0.344
Ca 0.000 0.500 0.000
Ca 0.327 0.328 0.656
Ca 0.646 0.146 0.292
Bi 0.169 0.421 0.336
Bi 0.168 0.915 0.336
Bi 0.500 0.260 0.000
Bi 0.500 0.740 0.000
Bi 0.832 0.085 0.664
Bi 0.831 0.579 0.664
Ga 0.000 0.000 0.000

Energy = -3.629 eV per atom



# 10
Below is an optimized crystal structure of Nd3MgCo, with properties calculated at the GGA-PBE level.

Unit cell a=5.363 b=5.363 c=5.363 alpha=90.00 beta=90.00 gamma=90.00
Element x y z (fractional)
Co 0.000 0.000 0.000
Mg 0.500 0.500 0.500
Nd 0.000 0.500 0.000
Nd 0.000 0.000 0.500
Nd 0.500 0.000 0.000

Energy = -4.585 eV per atom